## A
Compound: Cd2BiMo2
Source: Alexandria
Functional: GGA-PBE
Structure: relaxed

Unit cell a=4.029 b=4.029 c=13.545 alpha=90.00 beta=90.00 gamma=90.00
Space group I4/mmm (No. 139)
Unique sites:
1 Cd 0.000 0.500 0.250 (multiplicity 4)
2 Bi 0.000 0.000 0.000 (multiplicity 2)
3 Mo 0.000 0.000 0.414 (multiplicity 4)

=====

## B
Compound: Cd2BiMo2
Source: Alexandria
Functional: GGA-PBE
Structure: relaxed

Unit cell a=6.951 b=6.951 c=4.474 alpha=90.00 beta=90.00 gamma=90.00
Space group P4/mbm (No. 127)
Unique sites:
1 Cd 0.167 0.333 0.000 (multiplicity 4)
2 Bi 0.000 0.000 0.500 (multiplicity 2)
3 Mo 0.120 0.620 0.500 (multiplicity 4)

=====

B is the most stable structure; the next one sits 25.4 kJ/mol of atoms above it.

=====

## A
Compound: Cd3BiMo
Source: Alexandria
Functional: GGA-PBE
Structure: relaxed

Unit cell a=5.316 b=5.316 c=5.316 alpha=90.00 beta=90.00 gamma=90.00
Space group Pm-3m (No. 221)
Unique sites:
1 Cd 0.000 0.000 0.500 (multiplicity 3)
2 Bi 0.500 0.500 0.500 (multiplicity 1)
3 Mo 0.000 0.000 0.000 (multiplicity 1)

=====

## B
Compound: Cd3BiMo
Source: Alexandria
Functional: GGA-PBE
Structure: relaxed

Unit cell a=5.806 b=5.806 c=5.806 alpha=90.00 beta=90.00 gamma=90.00
Space group Pm-3m (No. 221)
Unique sites:
1 Cd 0.000 0.000 0.500 (multiplicity 3)
2 Bi 0.000 0.000 0.000 (multiplicity 1)
3 Mo 0.500 0.500 0.500 (multiplicity 1)

=====

A is the most stable structure; the next one sits 30.7 kJ/mol of atoms above it.